No. 1
A plane-wave DFT calculation with PBE was carried out for a relaxed CsMg2Tl2In2 crystal.

Geometry as POSCAR:
```
CsMg2Tl2In2
1.0
4.4786 0.0000 0.0000
-2.2393 4.9918 0.2045
0.0000 -1.2980 10.4028
Cs Mg Tl In
1 2 2 2
Direct
0.0000 0.0000 0.0000
0.1425 0.2849 0.4486
0.8575 0.7151 0.5514
0.7220 0.4439 0.2446
0.2780 0.5561 0.7554
0.5688 0.1375 0.6454
0.4312 0.8625 0.3546
```

Output
Formation energy: -0.085 eV per atom
DOS at the Fermi energy: 3.8 states/eV/cell

***

No. 2
A plane-wave DFT calculation with PBE was carried out for a relaxed La5TbNd crystal.

Geometry as POSCAR:
```
La5TbNd
1.0
-1.7388 -1.3745 8.8155
4.9212 -1.7282 7.4445
2.7172 6.8238 11.4396
La Tb Nd
10 2 2
Direct
0.7525 0.7417 0.0923
0.3363 0.3314 0.5905
0.7417 0.7525 0.5923
0.2395 0.7605 0.2500
0.6686 0.6637 0.9095
0.3314 0.3363 0.0905
0.7605 0.2395 0.7500
0.2583 0.2475 0.4077
0.6637 0.6686 0.4095
0.2475 0.2583 0.9077
0.7619 0.2381 0.2500
0.2381 0.7619 0.7500
0.0000 0.0000 0.0000
0.0000 0.0000 0.5000
```

Output
Formation energy: 0.122 eV per atom
ΔE to the lowest computed polymorph: 0.000 eV per atom
DOS at the Fermi energy: 22.3 states/eV/cell

***

No. 3
A plane-wave DFT calculation with PBE was carried out for a relaxed CsPt2N2 crystal.

Geometry as POSCAR:
```
CsPt2N2
1.0
4.1042 0.0000 0.0000
0.0000 4.1042 0.0000
2.0521 2.0521 6.1808
Cs Pt N
1 2 2
Direct
0.0000 0.0000 0.0000
0.7500 0.2500 0.5000
0.2500 0.7500 0.5000
0.3010 0.3010 0.3981
0.6990 0.6990 0.6019
```

Output
Uncorrected formation energy: 685 meV/atom
ΔE to the lowest computed polymorph: 0.000 eV per atom
DOS at the Fermi energy: 2.3 states/eV/cell

***

No. 4
A plane-wave DFT calculation with PBE was carried out for a relaxed HfAl2Ru2 crystal.

Geometry as POSCAR:
```
HfAl2Ru2
1.0
-3.3367 -4.8230 4.2481
2.7913 -5.3989 -3.9372
2.3588 -0.0720 1.7710
Ru Hf Al
4 2 4
Direct
0.1734 0.6734 0.5000
0.6734 0.8266 0.5000
0.8266 0.3266 0.5000
0.3266 0.1734 0.5000
0.0000 0.0000 0.0000
0.5000 0.5000 0.0000
0.3755 0.8755 0.0000
0.8755 0.6245 0.0000
0.6245 0.1245 0.0000
0.1245 0.3755 0.0000
```

Output
Formation energy: -0.556 eV per atom
ΔE to the lowest computed polymorph: 0.018 eV per atom
DOS at the Fermi energy: 7.6 states/eV/cell

***

No. 5
A plane-wave DFT calculation with PBE was carried out for a relaxed Ba2Pt crystal.

Geometry as POSCAR:
```
Ba2Pt
1.0
-1.0797 1.7272 -9.5509
1.3446 -5.9036 7.6620
-6.4323 -0.6811 0.6040
Ba Pt
4 2
Direct
0.9145 0.0855 0.0000
0.3077 0.6923 0.5000
0.5331 0.4669 0.5000
0.6891 0.3109 0.0000
0.2965 0.7035 0.0000
0.9258 0.0742 0.5000
```

Output
Formation energy: -0.565 eV per atom
DOS at the Fermi energy: 5.0 states/eV/cell

***

No. 6
A plane-wave DFT calculation with PBE was carried out for a relaxed Al2CrHRh crystal.

Geometry as POSCAR:
```
Al2CrHRh
1.0
4.1555 0.0000 0.0000
0.0000 4.1555 0.0000
0.0000 0.0000 3.3200
Cr Rh Al H
1 1 2 1
Direct
0.0000 0.0000 0.5000
0.5000 0.5000 0.5000
0.0000 0.5000 0.0000
0.5000 0.0000 0.0000
0.0000 0.0000 0.0000
```

Output
DOS at the Fermi energy: 2.3 states/eV/cell

***

No. 7
A plane-wave DFT calculation with PBE was carried out for a relaxed Ta2MoW crystal.

Geometry as POSCAR:
```
Ta2MoW
1.0
-0.3030 -5.7724 -4.4276
6.4361 1.8532 -2.8565
4.3595 -3.4970 -1.7263
Mo W Ta
2 2 4
Direct
0.5000 0.5000 0.0000
0.2500 0.7500 0.5000
0.0000 0.0000 0.0000
0.7500 0.2500 0.5000
0.6217 0.1250 0.2500
0.1283 0.6250 0.2500
0.3750 0.3783 0.7500
0.8750 0.8717 0.7500
```

Output
Formation energy: 0.792 eV per atom
DOS at the Fermi energy: 6.6 states/eV/cell

***

No. 8
A plane-wave DFT calculation with PBE was carried out for a relaxed Na2PmPb6 crystal.

Geometry as POSCAR:
```
Na2PmPb6
1.0
7.2490 0.2802 -0.7682
-1.2394 8.6770 -0.8785
0.1290 -0.1742 8.8063
Na Pm Pb
4 2 12
Direct
0.1425 0.3664 0.3119
0.3575 0.6881 0.6336
0.8575 0.6336 0.6881
0.6425 0.3119 0.3664
0.2500 0.8991 0.1009
0.7500 0.1009 0.8991
0.5126 0.3562 0.7188
0.9874 0.2812 0.6438
0.4874 0.6438 0.2812
0.0126 0.7188 0.3562
0.7004 0.9324 0.5351
0.7996 0.4649 0.0676
0.2996 0.0676 0.4649
0.2004 0.5351 0.9324
0.3745 0.2474 0.0279
0.1255 0.9721 0.7526
0.6255 0.7526 0.9721
0.8745 0.0279 0.2474
```

Output
Formation energy: -0.133 eV per atom
DOS at the Fermi energy: 6.1 states/eV/cell

***

No. 9
A plane-wave DFT calculation with PBE was carried out for a relaxed LiAcInPd2 crystal.

Geometry as POSCAR:
```
LiAcInPd2
1.0
4.1461 0.0000 0.0000
0.0000 4.1461 0.0000
-2.0731 -2.0731 6.4441
Li Ac In Pd
1 1 1 2
Direct
0.2500 0.7500 0.5000
0.0000 0.0000 0.0000
0.7500 0.2500 0.5000
0.6076 0.6076 0.2152
0.3924 0.3924 0.7848
```

Output
Formation energy: -0.696 eV per atom
DOS at the Fermi energy: 1.2 states/eV/cell

***

No. 10
A plane-wave DFT calculation with PBE was carried out for a relaxed SrBeCo2 crystal.

Geometry as POSCAR:
```
SrBeCo2
1.0
5.1222 -0.0016 -0.0049
-2.4324 4.4999 -0.0052
0.2574 0.8606 2.6388
Sr Co Be
1 2 1
Direct
0.0000 0.5000 0.5000
0.0000 0.0000 0.0000
0.5000 0.0000 0.5000
0.5000 0.5000 0.0000
```

Output
Formation energy: 0.918 eV per atom
DOS at the Fermi energy: 4.8 states/eV/cell

***

No. 11
A plane-wave DFT calculation with PBE was carried out for a relaxed In6Ga2Hg3 crystal.

Geometry as POSCAR:
```
In6Ga2Hg3
1.0
-4.4145 1.3402 -0.4394
-2.6025 0.6776 3.7742
2.1598 15.6278 1.5288
In Ga Hg
6 2 3
Direct
0.9046 0.9046 0.2861
0.0954 0.0954 0.7139
0.8155 0.8155 0.5535
0.1845 0.1845 0.4465
0.6338 0.6338 0.0985
0.3662 0.3662 0.9015
0.5418 0.5418 0.3745
0.4582 0.4582 0.6255
0.0000 0.0000 0.0000
0.7301 0.7301 0.8096
0.2699 0.2699 0.1904
```

Output
Formation energy: 0.042 eV per atom
DOS at the Fermi energy: 4.2 states/eV/cell

***

No. 12
A plane-wave DFT calculation with PBE was carried out for a relaxed UReIr2 crystal.

Geometry as POSCAR:
```
UReIr2
1.0
-0.5855 -1.2206 -3.8782
-3.0551 -2.3206 1.1916
-2.5450 3.0542 -0.5771
Re Ir U
1 2 1
Direct
0.5000 0.5000 0.5000
0.0000 0.0000 0.5000
0.0000 0.5000 0.0000
0.5000 0.0000 0.0000
```

Output
Formation energy: -0.458 eV per atom
ΔE to the lowest computed polymorph: 0.000 eV per atom
DOS at the Fermi energy: 2.4 states/eV/cell

***

No. 13
A plane-wave DFT calculation with PBE was carried out for a relaxed SrTa2OsSe crystal.

Geometry as POSCAR:
```
SrTa2OsSe
1.0
4.8642 0.0000 0.0000
0.0000 5.0501 0.0000
0.0000 0.0000 4.8642
Sr Os Se Ta
1 1 1 2
Direct
0.0000 0.0000 0.0000
0.5000 0.5000 0.5000
0.0000 0.5000 0.0000
0.0000 0.0000 0.5000
0.5000 0.0000 0.0000
```

Output
Uncorrected formation energy: 3167 meV/atom
DOS at the Fermi energy: 7.0 states/eV/cell

***

no.,magnetic moment (μB/atom),raw total energy (eV per atom)
1,0.0000,-2.121
2,0.0000,-4.740
3,0.0000,-5.232
4,0.0000,-7.754
5,0.0004,-3.860
6,0.4730,-5.916
7,0.0000,-11.080
8,0.0000,-3.427
9,0.0000,-4.525
10,0.5148,-3.987
11,0.0000,-2.084
12,0.0000,-10.823
13,0.0001,-4.853